# 1
This record from the Alexandria database describes a geometry-optimized BaSc4B3O12 structure. The functional is PBE.

Calculated values
**Raw formation energy**: -2.35 eV/atom
**Symmetry**: Im-3, No. 204
**Size of the total moment**: 0.93 μB/cell

Lattice parameters (Å, degrees): 6.474 6.474 6.474 109.47 109.47 109.47
Last column: magnetic moment on the atom in μB.
Atoms (fractional coordinates):
O 0.654 0.852 0.506  0.07
O 0.148 0.494 0.346  0.07
O 0.802 0.654 0.148  0.07
O 0.654 0.148 0.802  0.07
O 0.148 0.802 0.654  0.07
O 0.346 0.852 0.198  0.07
O 0.852 0.198 0.346  0.07
O 0.494 0.346 0.148  0.07
O 0.198 0.346 0.852  0.07
O 0.346 0.148 0.494  0.07
O 0.852 0.506 0.654  0.07
O 0.506 0.654 0.852  0.07
B 0.000 0.500 0.500  -0.01
B 0.500 0.500 0.000  -0.01
B 0.500 0.000 0.500  -0.01
Sc 0.500 0.500 0.500  -0.01
Sc 0.000 0.500 0.000  -0.01
Sc 0.000 0.000 0.500  -0.01
Sc 0.500 0.000 0.000  -0.01
Ba 0.000 0.000 0.000  0.00

# 2
This record from the Alexandria database describes a geometry-optimized PrNi9Sn2 structure. The functional is PBE.

Calculated values
**ΔE to the lowest computed polymorph**: 0.0000 eV/atom
**Symmetry**: P4/mbm, No. 127
**DFT formation energy**: -21.9 kJ per mole of atoms
**Size of the total moment**: 0.00 μB/cell

Lattice parameters (Å, degrees): 4.915 8.271 8.271 90.00 90.00 90.00
Atoms (fractional coordinates):
Ni 0.500 0.292 0.433
Ni 0.500 0.792 0.067
Ni 0.500 0.567 0.292
Ni 0.500 0.500 0.000
Ni 0.500 0.433 0.708
Ni 0.500 0.708 0.567
Ni 0.500 0.933 0.792
Ni 0.500 0.067 0.208
Ni 0.247 0.827 0.327
Ni 0.247 0.327 0.173
Ni 0.753 0.827 0.327
Ni 0.500 0.208 0.933
Ni 0.247 0.673 0.827
Ni 0.753 0.173 0.673
Ni 0.500 0.000 0.500
Ni 0.247 0.173 0.673
Ni 0.753 0.327 0.173
Ni 0.753 0.673 0.827
Sn 0.000 0.373 0.873
Sn 0.000 0.127 0.373
Sn 0.000 0.627 0.127
Sn 0.000 0.873 0.627
Pr 0.000 0.000 0.000
Pr 0.000 0.500 0.500

# 3
This record from the Alexandria database describes a geometry-optimized TlAuC2 structure. The functional is PBE.

Calculated values
**ΔE to the lowest computed polymorph**: 0.0000 eV/atom
**Symmetry**: I-42d, No. 122
**DFT formation energy**: 185.5 kJ per mole of atoms
**Size of the total moment**: 0.00 μB/cell

Lattice parameters (Å, degrees): 5.190 5.190 6.276 65.58 65.58 90.00
Atoms (fractional coordinates):
Tl 0.000 0.000 0.000
Tl 0.750 0.250 0.500
C 0.875 0.827 0.750
C 0.375 0.423 0.750
C 0.173 0.625 0.250
C 0.577 0.125 0.250
Au 0.500 0.500 0.000
Au 0.250 0.750 0.500